Material: KInOs2
Method: DFT, PBE-GGA
State: relaxed Values from VASP.

Structure (Quantum ESPRESSO input):
```
&SYSTEM
  ibrav = 0, nat = 4, ntyp = 3
/
ATOMIC_SPECIES
K 39.10 K.upf
In 114.82 In.upf
Os 190.23 Os.upf
ATOMIC_POSITIONS crystal
K 0.000 0.000 0.000
In 0.500 0.500 0.000
Os 0.000 0.500 0.500
Os 0.500 0.000 0.500
CELL_PARAMETERS angstrom
2.965 -4.867 0.000
2.965 4.867 0.000
0.000 0.000 2.638
```

Output
For the formation enthalpy at 0 K, the calculation gives 1.35 eV per atom. As for the total magnetization: 0.0000 μB per atom. Its space group is Cmmm (65). Its crystal system is orthorhombic.